DFT (PBE) results for a relaxed Cs2Se crystal.

Computed properties:
Its crystal system is trigonal. The calculation puts the uncorrected formation energy at -94.5 kJ per mole of atoms. Its space-group type is P-3m1. The energy above the lowest structure with this stoichiometry comes out at 99 meV per atom.

a = 5.5173 Å, b = 5.5173 Å, c = 6.5063 Å
α = 90.00°, β = 90.00°, γ = 120.00°
With the nearest neighbours (Å) after each atom.
Element x y z (fractional)
Se (0.0000, 0.0000, 0.0000)  6 Cs 3.54
Cs (0.3333, 0.6667, 0.2364)  3 Se 3.54
Cs (0.6667, 0.3333, 0.7636)  3 Se 3.54

---

DFT (PBE) results for a relaxed Cs6Se crystal.

Computed properties:
Its crystal system is orthorhombic. The calculation puts the uncorrected formation energy at -42.4 kJ per mole of atoms. Its space-group type is Pnma. The value obtained for the density of states at the Fermi level is 21.367 states/eV/cell.

a = 9.3187 Å, b = 16.0883 Å, c = 17.7666 Å
α = 90.00°, β = 90.00°, γ = 90.00°
With the nearest neighbours (Å) after each atom.
Element x y z (fractional)
Cs (0.2403, 0.0955, 0.0140)  1 Se 3.51
Cs (0.0673, 0.9032, 0.2655)  1 Se 3.51
Cs (0.9327, 0.4032, 0.7345)  1 Se 3.51
Cs (0.8004, 0.2500, 0.5001)  1 Se 3.50
Cs (0.7403, 0.5955, 0.4860)  1 Se 3.51
Cs (0.3004, 0.7500, 0.9999)  1 Se 3.50
Cs (0.6073, 0.7500, 0.2579)  1 Se 3.50
Cs (0.5673, 0.0968, 0.2345)  1 Se 3.51
Cs (0.4327, 0.5968, 0.7655)  1 Se 3.51
Cs (0.1996, 0.7500, 0.4999)  1 Se 3.50
Cs (0.2403, 0.4045, 0.0140)  1 Se 3.51
Cs (0.2597, 0.0955, 0.5140)  1 Se 3.51
Cs (0.7597, 0.9045, 0.9860)  1 Se 3.51
Cs (0.3927, 0.2500, 0.7422)  1 Se 3.50
Cs (0.8927, 0.7500, 0.7578)  1 Se 3.50
Cs (0.7597, 0.5955, 0.9860)  1 Se 3.51
Cs (0.4327, 0.9032, 0.7655)  1 Se 3.51
Cs (0.2597, 0.4045, 0.5140)  1 Se 3.51
Cs (0.0673, 0.5968, 0.2655)  1 Se 3.51
Cs (0.6996, 0.2500, 0.0001)  1 Se 3.50
Cs (0.7403, 0.9045, 0.4860)  1 Se 3.51
Cs (0.1073, 0.2500, 0.2422)  1 Se 3.50
Cs (0.9327, 0.0968, 0.7345)  1 Se 3.51
Cs (0.5673, 0.4032, 0.2345)  1 Se 3.51
Se (0.5944, 0.7500, 0.8772)  6 Cs 3.50-3.51
Se (0.9056, 0.7500, 0.3772)  6 Cs 3.50-3.51
Se (0.0944, 0.2500, 0.6228)  6 Cs 3.50-3.51
Se (0.4056, 0.2500, 0.1228)  6 Cs 3.50-3.51

---

DFT (PBE) results for a relaxed CsSe crystal.

Computed properties:
Its crystal system is monoclinic. The calculation puts the uncorrected formation energy at -89.0 kJ per mole of atoms. Its space-group type is P2_1/c.

a = 7.4479 Å, b = 6.8559 Å, c = 14.1489 Å
α = 115.11°, β = 90.00°, γ = 90.00°
With the nearest neighbours (Å) after each atom.
Element x y z (fractional)
Se (0.1681, 0.1545, 0.9041)  1 Se 2.43
Se (0.0032, 0.0208, 0.7406)  1 Se 2.43
Se (0.6681, 0.3455, 0.5959)  1 Se 2.43
Se (0.9968, 0.9792, 0.2594)  1 Se 2.43
Se (0.3319, 0.6545, 0.4041)  1 Se 2.43
Se (0.4968, 0.5208, 0.2406)  1 Se 2.43
Se (0.5032, 0.4792, 0.7594)  1 Se 2.43
Se (0.8319, 0.8455, 0.0959)  1 Se 2.43
Cs (0.1836, 0.2664, 0.5396)  7 Se 3.69-4.10, 2 Cs 3.85-3.95
Cs (0.3164, 0.7664, 0.0396)  7 Se 3.69-4.10, 2 Cs 3.85-3.95
Cs (0.4681, 0.9110, 0.6819)  7 Se 3.57-3.96, 2 Cs 3.85-3.95
Cs (0.8164, 0.7336, 0.4604)  7 Se 3.69-4.10, 2 Cs 3.85-3.95
Cs (0.6836, 0.2336, 0.9604)  7 Se 3.69-4.10, 2 Cs 3.85-3.95
Cs (0.9681, 0.5890, 0.8181)  7 Se 3.57-3.96, 2 Cs 3.85-3.95
Cs (0.5319, 0.0890, 0.3181)  7 Se 3.57-3.96, 2 Cs 3.85-3.95
Cs (0.0319, 0.4110, 0.1819)  7 Se 3.57-3.96, 2 Cs 3.85-3.95

---

DFT (PBE) results for a relaxed Cs2Se crystal.

Computed properties:
Its crystal system is trigonal. The calculation puts the uncorrected formation energy at -98.2 kJ per mole of atoms. Its space-group type is R-3m. The energy above the lowest structure with this stoichiometry comes out at 61 meV per atom.

a = 11.9103 Å, b = 11.9103 Å, c = 11.9103 Å
α = 27.87°, β = 27.87°, γ = 27.87°
With the nearest neighbours (Å) after each atom.
Element x y z (fractional)
Se (0.5910, 0.5910, 0.5910)  7 Cs 3.59-3.81
Se (0.4090, 0.4090, 0.4090)  7 Cs 3.59-3.81
Cs (0.7021, 0.7021, 0.7021)  4 Se 3.59-3.81
Cs (0.1167, 0.1167, 0.1167)  3 Se 3.60
Cs (0.8833, 0.8833, 0.8833)  3 Se 3.60
Cs (0.2979, 0.2979, 0.2979)  4 Se 3.59-3.81

---

DFT (PBE) results for a relaxed CsSe4 crystal.

Computed properties:
Its crystal system is monoclinic. The calculation puts the uncorrected formation energy at -38.2 kJ per mole of atoms. Its space-group type is P2_1/c. The value obtained for the density of states at the Fermi level is 2.918 states/eV/cell. The energy above the lowest structure with this stoichiometry comes out at 0 meV per atom.

a = 7.6471 Å, b = 5.7355 Å, c = 10.0745 Å
α = 110.52°, β = 90.00°, γ = 90.00°
With the nearest neighbours (Å) after each atom.
Element x y z (fractional)
Se (0.8748, 0.4819, 0.6354)  2 Se 2.43-2.46
Se (0.8835, 0.6884, 0.2709)  2 Se 2.43-2.46
Se (0.1165, 0.3116, 0.7291)  2 Se 2.43-2.46
Se (0.1252, 0.5181, 0.3646)  2 Se 2.43-2.46
Se (0.3748, 0.5181, 0.8646)  2 Se 2.43-2.46
Se (0.3835, 0.3116, 0.2291)  2 Se 2.43-2.46
Se (0.6165, 0.6884, 0.7709)  2 Se 2.43-2.46
Se (0.6252, 0.4819, 0.1354)  2 Se 2.43-2.46
Cs (0.0000, 0.0000, 0.0000)  10 Se 3.77-4.03
Cs (0.5000, 0.0000, 0.5000)  10 Se 3.77-4.03

---

DFT (PBE) results for a relaxed Cs5Se4 crystal.

Computed properties:
Its crystal system is monoclinic. The calculation puts the uncorrected formation energy at -87.2 kJ per mole of atoms. Its space-group type is C2/m. The value obtained for the density of states at the Fermi level is 4.047 states/eV/cell.

a = 5.4073 Å, b = 6.6839 Å, c = 12.2086 Å
α = 81.87°, β = 77.21°, γ = 66.14°
With the nearest neighbours (Å) after each atom.
Element x y z (fractional)
Cs (0.0000, 0.0000, 0.0000)  4 Se 3.63
Cs (0.8873, 0.8391, 0.3863)  5 Se 3.51-3.88
Cs (0.1127, 0.1609, 0.6137)  5 Se 3.51-3.88
Cs (0.7645, 0.6477, 0.8232)  5 Se 3.59-3.86, 1 Cs 3.99
Cs (0.2355, 0.3523, 0.1768)  5 Se 3.59-3.86, 1 Cs 3.99
Se (0.4341, 0.5287, 0.6031)  1 Se 2.50
Se (0.5491, 0.7401, 0.1616)  1 Se 3.16
Se (0.4509, 0.2599, 0.8384)  1 Se 3.16
Se (0.5659, 0.4713, 0.3969)  1 Se 2.50

---

DFT (PBE) results for a relaxed CsSe crystal.

Computed properties:
Its crystal system is hexagonal. The calculation puts the uncorrected formation energy at -79.4 kJ per mole of atoms. Its space-group type is P6_3/mmc. The value obtained for the density of states at the Fermi level is 1.510 states/eV/cell.

a = 12.3739 Å, b = 12.3739 Å, c = 5.1701 Å
α = 90.00°, β = 90.00°, γ = 120.00°
With the nearest neighbours (Å) after each atom.
Element x y z (fractional)
Cs (0.7839, 0.2161, 0.7500)  6 Se 3.49-3.88
Cs (0.4322, 0.2161, 0.7500)  6 Se 3.49-3.88
Cs (0.2161, 0.4322, 0.2500)  6 Se 3.49-3.88
Cs (0.5678, 0.7839, 0.2500)  6 Se 3.49-3.88
Cs (0.2161, 0.7839, 0.2500)  6 Se 3.49-3.88
Cs (0.7839, 0.5678, 0.7500)  6 Se 3.49-3.88
Se (0.9611, 0.4806, 0.2500)  2 Se 2.72
Se (0.5194, 0.0389, 0.2500)  2 Se 2.72
Se (0.4806, 0.5194, 0.7500)  2 Se 2.72
Se (0.0389, 0.5194, 0.7500)  2 Se 2.72
Se (0.4806, 0.9611, 0.7500)  2 Se 2.72
Se (0.5194, 0.4806, 0.2500)  2 Se 2.72

---

DFT (PBE) results for a relaxed CsSiSe crystal.

Computed properties:
Its crystal system is monoclinic. The calculation puts the uncorrected formation energy at -42.0 kJ per mole of atoms. Its space-group type is P2_1/c. The value obtained for the density of states at the Fermi level is 0.776 states/eV/cell.

a = 8.1273 Å, b = 7.0722 Å, c = 8.3047 Å
α = 71.44°, β = 90.00°, γ = 90.00°
With the nearest neighbours (Å) after each atom.
Element x y z (fractional)
Si (0.8922, 0.0931, 0.4272)  1 Si 2.29, 1 Se 2.33
Si (0.1078, 0.9069, 0.5728)  1 Si 2.29, 1 Se 2.33
Si (0.6078, 0.0931, 0.9272)  1 Si 2.29, 1 Se 2.33
Si (0.3922, 0.9069, 0.0728)  1 Si 2.29, 1 Se 2.33
Se (0.7269, 0.2328, 0.5881)  1 Si 2.33
Se (0.2731, 0.7672, 0.4119)  1 Si 2.33
Se (0.7731, 0.2328, 0.0881)  1 Si 2.33
Se (0.2269, 0.7672, 0.9119)  1 Si 2.33
Cs (0.6167, 0.6892, 0.7209)  5 Se 3.66-3.88, 3 Si 3.77-4.01
Cs (0.1167, 0.3108, 0.7791)  5 Se 3.66-3.88, 3 Si 3.77-4.01
Cs (0.3833, 0.3108, 0.2791)  5 Se 3.66-3.88, 3 Si 3.77-4.01
Cs (0.8833, 0.6892, 0.2209)  5 Se 3.66-3.88, 3 Si 3.77-4.01

---

DFT (PBE) results for a relaxed CsSiSe2 crystal.

Computed properties:
Its crystal system is trigonal. The calculation puts the uncorrected formation energy at -24.5 kJ per mole of atoms. Its space-group type is R-3m. The value obtained for the density of states at the Fermi level is 1.925 states/eV/cell. The energy above the lowest structure with this stoichiometry comes out at 350 meV per atom.

a = 9.8027 Å, b = 9.8027 Å, c = 9.8027 Å
α = 22.13°, β = 22.13°, γ = 22.13°
With the nearest neighbours (Å) after each atom.
Element x y z (fractional)
Se (0.1179, 0.1179, 0.1179)  3 Si 2.58
Se (0.8821, 0.8821, 0.8821)  3 Si 2.58
Cs (0.0000, 0.0000, 0.0000)  2 Se 3.38, 6 Cs 3.76
Si (0.5000, 0.5000, 0.5000)  6 Se 2.58

---

DFT (PBE) results for a relaxed Cs5SiSe4 crystal.

Computed properties:
Its crystal system is orthorhombic. The calculation puts the uncorrected formation energy at -87.9 kJ per mole of atoms. Its space-group type is Pmmn. The value obtained for the density of states at the Fermi level is 5.463 states/eV/cell.

a = 8.4869 Å, b = 11.1938 Å, c = 10.0483 Å
α = 90.00°, β = 90.00°, γ = 90.00°
With the nearest neighbours (Å) after each atom.
Element x y z (fractional)
Se (0.9645, 0.3295, 0.5000)  1 Si 2.35
Se (0.0355, 0.1705, 0.0000)  1 Si 2.35
Se (0.9645, 0.6705, 0.5000)  1 Si 2.35
Se (0.0355, 0.8295, 0.0000)  1 Si 2.35
Se (0.3557, 0.0000, 0.8088)  1 Si 2.35
Se (0.6443, 0.5000, 0.3088)  1 Si 2.35
Se (0.3557, 0.0000, 0.1912)  1 Si 2.35
Se (0.6443, 0.5000, 0.6912)  1 Si 2.35
Cs (0.7284, 0.1884, 0.2502)  4 Se 3.58-3.85
Cs (0.2716, 0.6884, 0.2498)  4 Se 3.58-3.85
Cs (0.1332, 0.0000, 0.5000)  4 Se 3.63-3.96
Cs (0.2716, 0.3116, 0.7502)  4 Se 3.58-3.85
Cs (0.8668, 0.5000, 0.0000)  4 Se 3.63-3.96
Cs (0.2716, 0.6884, 0.7502)  4 Se 3.58-3.85
Cs (0.7284, 0.8116, 0.7498)  4 Se 3.58-3.85
Cs (0.7284, 0.1884, 0.7498)  4 Se 3.58-3.85
Cs (0.7284, 0.8116, 0.2502)  4 Se 3.58-3.85
Cs (0.2716, 0.3116, 0.2498)  4 Se 3.58-3.85
Si (0.1971, 0.0000, 0.0000)  4 Se 2.35
Si (0.8029, 0.5000, 0.5000)  4 Se 2.35

---

DFT (PBE) results for a relaxed Cs2SiSe2 crystal.

Computed properties:
Its crystal system is tetragonal. The calculation puts the uncorrected formation energy at -37.0 kJ per mole of atoms. Its space-group type is I4/mmm. The value obtained for the density of states at the Fermi level is 4.537 states/eV/cell.

a = 7.2694 Å, b = 7.2694 Å, c = 6.4895 Å
α = 55.94°, β = 55.94°, γ = 90.00°
With the nearest neighbours (Å) after each atom.
Element x y z (fractional)
Se (0.7025, 0.7025, 0.5950)  1 Si 2.36
Se (0.2975, 0.2975, 0.4050)  1 Si 2.36
Si (0.0000, 0.0000, 0.0000)  2 Se 2.36
Cs (0.2500, 0.7500, 0.5000)  4 Se 3.65, 2 Cs 3.96
Cs (0.7500, 0.2500, 0.5000)  4 Se 3.65, 2 Cs 3.96

---

DFT (PBE) results for a relaxed Cs3SiSe3 crystal.

Computed properties:
Its crystal system is orthorhombic. The calculation puts the uncorrected formation energy at -78.1 kJ per mole of atoms. Its space-group type is Cmcm. The value obtained for the density of states at the Fermi level is 7.191 states/eV/cell. The energy above the lowest structure with this stoichiometry comes out at 80 meV per atom.

a = 7.2229 Å, b = 10.4985 Å, c = 10.4984 Å
α = 119.82°, β = 90.00°, γ = 90.00°
With the nearest neighbours (Å) after each atom.
Element x y z (fractional)
Si (0.7500, 0.3330, 0.6670)  3 Se 2.27
Si (0.2500, 0.6670, 0.3330)  3 Se 2.27
Cs (0.7500, 0.8088, 0.1905)  4 Se 3.63-3.65
Cs (0.2500, 0.6168, 0.8080)  4 Se 3.63-3.65
Cs (0.7500, 0.3832, 0.1920)  4 Se 3.63-3.65
Cs (0.7500, 0.8088, 0.6168)  4 Se 3.63-3.65
Cs (0.2500, 0.1912, 0.8095)  4 Se 3.63-3.65
Cs (0.2500, 0.1912, 0.3832)  4 Se 3.63-3.65
Se (0.2500, 0.7914, 0.5818)  1 Si 2.27
Se (0.7500, 0.2086, 0.7920)  1 Si 2.27
Se (0.2500, 0.7914, 0.2080)  1 Si 2.27
Se (0.2500, 0.4182, 0.2093)  1 Si 2.27
Se (0.7500, 0.5818, 0.7907)  1 Si 2.27
Se (0.7500, 0.2086, 0.4182)  1 Si 2.27